This record from the Alexandria database describes an optimized crystal structure of LiInGa2Pt. The functional is PBE-GGA.

Properties
ρ = 6.63 Mg/m³
Electronic total energy = -18.1 eV per cell
DFT formation energy = -273 meV per atom
M_tot = 0.000 μB per atom
DOS at the Fermi energy = 1.8 states/eV/cell

Cell: 4.817 4.817 4.925 Å, 90.00 90.00 90.00°
Positions (direct):
1 Li 0.000 0.000 0.000
2 In 0.500 0.500 0.000
3 Ga 0.000 0.500 0.500
4 Ga 0.500 0.000 0.500
5 Pt 0.000 0.000 0.500

=====

This record from the Alexandria database describes an optimized crystal structure of GdTi2Co. The functional is PBE-GGA.

Properties
ρ = 6.63 Mg/m³
Electronic total energy = -35.8 eV per cell
DFT formation energy = 301 meV per atom
M_tot = 1.848 μB per atom
DOS at the Fermi energy = 4.8 states/eV/cell

Cell: 9.586 9.586 9.586 Å, 18.57 18.57 18.57°
Positions (direct):
1 Gd 0.000 0.000 0.000
2 Ti 0.109 0.109 0.109
3 Ti 0.891 0.891 0.891
4 Co 0.500 0.500 0.500

=====

This record from the Alexandria database describes an optimized crystal structure of LiMgIr2. The functional is PBE-GGA.

Properties
ρ = 11.14 Mg/m³
Electronic total energy = -40.2 eV per cell
DFT formation energy = 285 meV per atom
M_tot = 0.000 μB per atom
DOS at the Fermi energy = 9.8 states/eV/cell

Cell: 5.603 5.603 5.603 Å, 100.85 100.85 128.58°
Positions (direct):
1 Li 0.000 0.000 0.000
2 Li 0.750 0.250 0.500
3 Mg 0.250 0.750 0.500
4 Mg 0.500 0.500 0.000
5 Ir 0.080 0.625 0.955
6 Ir 0.375 0.330 0.455
7 Ir 0.670 0.125 0.045
8 Ir 0.875 0.920 0.545